# PBE AlHgP2, optimized geometry
# Density of states at the Fermi level, states/eV per cell: 3.3
# Energy relative to the elements, meV/atom: 426.1
# E above lowest polymorph, meV/atom: 456
data_AlHgP2
_chemical_formula_sum 'Al2 Hg2 P4'
_symmetry_space_group_name_H-M 'I m m m'
_symmetry_Int_Tables_number 71
_symmetry_space_group_name_Hall '-I 2 2'
_cell_length_a 3.423
_cell_length_b 4.534
_cell_length_c 9.581
_cell_angle_alpha 90.00
_cell_angle_beta 90.00
_cell_angle_gamma 90.00
loop_
_atom_site_label
_atom_site_fract_x
_atom_site_fract_y
_atom_site_fract_z
_atom_site_occupancy
Al1 0.000 0.000 0.000 1
Hg1 0.000 0.000 0.500 1
P1 0.000 0.500 0.305 1

***

# PBE AlHgP2, optimized geometry
# Density of states at the Fermi level, states/eV per cell: 14.1
# Energy relative to the elements, meV/atom: -30.4
# E above lowest polymorph, meV/atom: 0
data_AlHgP2
_chemical_formula_sum 'Al4 Hg4 P8'
_symmetry_space_group_name_H-M 'I -4 2 d'
_symmetry_Int_Tables_number 122
_symmetry_space_group_name_Hall 'I -4 2bw'
_cell_length_a 5.739
_cell_length_b 5.739
_cell_length_c 11.234
_cell_angle_alpha 90.00
_cell_angle_beta 90.00
_cell_angle_gamma 90.00
loop_
_atom_site_label
_atom_site_fract_x
_atom_site_fract_y
_atom_site_fract_z
_atom_site_occupancy
Al1 0.000 0.000 0.000 1
Hg1 0.000 0.000 0.500 1
P1 0.223 0.250 0.125 1

***

# PBE AlHg2PPb, optimized geometry
# Density of states at the Fermi level, states/eV per cell: 2.0
# Energy relative to the elements, meV/atom: 340.7
data_AlHg2PPb
_chemical_formula_sum 'Al1 Hg2 P1 Pb1'
_symmetry_space_group_name_H-M 'P 4/m m m'
_symmetry_Int_Tables_number 123
_symmetry_space_group_name_Hall '-P 4 2'
_cell_length_a 5.215
_cell_length_b 5.215
_cell_length_c 4.799
_cell_angle_alpha 90.00
_cell_angle_beta 90.00
_cell_angle_gamma 90.00
loop_
_atom_site_label
_atom_site_fract_x
_atom_site_fract_y
_atom_site_fract_z
_atom_site_occupancy
Al1 0.000 0.000 0.000 1
Hg1 0.000 0.500 0.500 1
P1 0.000 0.000 0.500 1
Pb1 0.500 0.500 0.000 1

***

# PBE AlHgPPb2, optimized geometry
# Density of states at the Fermi level, states/eV per cell: 2.6
# Energy relative to the elements, meV/atom: 538.2
data_AlHgPPb2
_chemical_formula_sum 'Al1 Hg1 P1 Pb2'
_symmetry_space_group_name_H-M 'P 4/m m m'
_symmetry_Int_Tables_number 123
_symmetry_space_group_name_Hall '-P 4 2'
_cell_length_a 5.597
_cell_length_b 5.597
_cell_length_c 4.923
_cell_angle_alpha 90.00
_cell_angle_beta 90.00
_cell_angle_gamma 90.00
loop_
_atom_site_label
_atom_site_fract_x
_atom_site_fract_y
_atom_site_fract_z
_atom_site_occupancy
Al1 0.000 0.000 0.000 1
Hg1 0.500 0.500 0.000 1
P1 0.500 0.500 0.500 1
Pb1 0.000 0.500 0.500 1

***

# PBE AlHgP2S, optimized geometry
# Density of states at the Fermi level, states/eV per cell: 5.1
# Energy relative to the elements, uncorrected, eV per atom: 0.54
# E above lowest polymorph, meV/atom: 0
data_AlHgP2S
_chemical_formula_sum 'Al1 Hg1 P2 S1'
_symmetry_space_group_name_H-M 'P 4/m m m'
_symmetry_Int_Tables_number 123
_symmetry_space_group_name_Hall '-P 4 2'
_cell_length_a 4.777
_cell_length_b 4.777
_cell_length_c 4.548
_cell_angle_alpha 90.00
_cell_angle_beta 90.00
_cell_angle_gamma 90.00
loop_
_atom_site_label
_atom_site_fract_x
_atom_site_fract_y
_atom_site_fract_z
_atom_site_occupancy
Al1 0.000 0.000 0.000 1
Hg1 0.500 0.500 0.500 1
P1 0.000 0.500 0.000 1
S1 0.000 0.000 0.500 1

***

# PBE TaAlHg2P, optimized geometry
# Density of states at the Fermi level, states/eV per cell: 5.0
# Energy relative to the elements, meV/atom: 1143.3
data_TaAlHg2P
_chemical_formula_sum 'Ta1 Al1 Hg2 P1'
_symmetry_space_group_name_H-M 'P 4/m m m'
_symmetry_Int_Tables_number 123
_symmetry_space_group_name_Hall '-P 4 2'
_cell_length_a 5.005
_cell_length_b 5.005
_cell_length_c 4.529
_cell_angle_alpha 90.00
_cell_angle_beta 90.00
_cell_angle_gamma 90.00
loop_
_atom_site_label
_atom_site_fract_x
_atom_site_fract_y
_atom_site_fract_z
_atom_site_occupancy
Ta1 0.000 0.000 0.000 1
Al1 0.500 0.500 0.500 1
Hg1 0.000 0.500 0.500 1
P1 0.500 0.500 0.000 1

***

# PBE PaAlHg, optimized geometry
# Density of states at the Fermi level, states/eV per cell: 8.0
# Energy relative to the elements, meV/atom: 19.1
# E above lowest polymorph, meV/atom: 86
data_PaAlHg
_chemical_formula_sum 'Pa2 Al2 Hg2'
_symmetry_space_group_name_H-M 'I 4 m m'
_symmetry_Int_Tables_number 107
_symmetry_space_group_name_Hall 'I 4 -2'
_cell_length_a 3.105
_cell_length_b 3.105
_cell_length_c 13.514
_cell_angle_alpha 90.00
_cell_angle_beta 90.00
_cell_angle_gamma 90.00
loop_
_atom_site_label
_atom_site_fract_x
_atom_site_fract_y
_atom_site_fract_z
_atom_site_occupancy
Pa1 0.000 0.000 0.000 1
Al1 0.000 0.000 0.339 1
Hg1 0.000 0.000 0.687 1

***

# PBE PaAlHg, optimized geometry
# Density of states at the Fermi level, states/eV per cell: 3.6
# Energy relative to the elements, meV/atom: -66.9
# E above lowest polymorph, meV/atom: 0
data_PaAlHg
_chemical_formula_sum 'Pa1 Al1 Hg1'
_symmetry_space_group_name_H-M 'P -6 m 2'
_symmetry_Int_Tables_number 187
_symmetry_space_group_name_Hall 'P -6 2'
_cell_length_a 4.8912
_cell_length_b 4.8912
_cell_length_c 3.1851
_cell_angle_alpha 90.00
_cell_angle_beta 90.00
_cell_angle_gamma 120.00
loop_
_atom_site_label
_atom_site_fract_x
_atom_site_fract_y
_atom_site_fract_z
_atom_site_occupancy
Pa1 0.0000 0.0000 0.0000 1
Al1 0.6667 0.3333 0.5000 1
Hg1 0.3333 0.6667 0.5000 1

***

# PBE PaAlHg, optimized geometry
# Density of states at the Fermi level, states/eV per cell: 15.5
# Energy relative to the elements, meV/atom: -62.2
# E above lowest polymorph, meV/atom: 5
data_PaAlHg
_chemical_formula_sum 'Pa4 Al4 Hg4'
_symmetry_space_group_name_H-M 'C m c m'
_symmetry_Int_Tables_number 63
_symmetry_space_group_name_Hall '-C 2c 2'
_cell_length_a 3.146
_cell_length_b 17.930
_cell_length_c 4.706
_cell_angle_alpha 90.00
_cell_angle_beta 90.00
_cell_angle_gamma 90.00
loop_
_atom_site_label
_atom_site_fract_x
_atom_site_fract_y
_atom_site_fract_z
_atom_site_occupancy
Pa1 0.000 0.110 0.250 1
Al1 0.000 0.462 0.250 1
Hg1 0.000 0.294 0.250 1

***

# PBE PaAlHgPd, optimized geometry
# Density of states at the Fermi level, states/eV per cell: 10.8
# Energy relative to the elements, meV/atom: -251.8
data_PaAlHgPd
_chemical_formula_sum 'Pa4 Al4 Hg4 Pd4'
_symmetry_space_group_name_H-M 'F -4 3 m'
_symmetry_Int_Tables_number 216
_symmetry_space_group_name_Hall 'F -4 2 3'
_cell_length_a 6.918
_cell_length_b 6.918
_cell_length_c 6.918
_cell_angle_alpha 90.00
_cell_angle_beta 90.00
_cell_angle_gamma 90.00
loop_
_atom_site_label
_atom_site_fract_x
_atom_site_fract_y
_atom_site_fract_z
_atom_site_occupancy
Pa1 0.000 0.000 0.000 1
Al1 0.000 0.000 0.500 1
Hg1 0.250 0.250 0.750 1
Pd1 0.250 0.250 0.250 1

***

# PBE PmPaAlHg, optimized geometry
# Density of states at the Fermi level, states/eV per cell: 25.9
# Energy relative to the elements, meV/atom: -27.3
data_PmPaAlHg
_chemical_formula_sum 'Pm4 Pa4 Al4 Hg4'
_symmetry_space_group_name_H-M 'F -4 3 m'
_symmetry_Int_Tables_number 216
_symmetry_space_group_name_Hall 'F -4 2 3'
_cell_length_a 7.434
_cell_length_b 7.434
_cell_length_c 7.434
_cell_angle_alpha 90.00
_cell_angle_beta 90.00
_cell_angle_gamma 90.00
loop_
_atom_site_label
_atom_site_fract_x
_atom_site_fract_y
_atom_site_fract_z
_atom_site_occupancy
Pm1 0.000 0.000 0.000 1
Pa1 0.000 0.000 0.500 1
Al1 0.250 0.250 0.750 1
Hg1 0.250 0.250 0.250 1

***

# PBE SmPaAlHg, optimized geometry
# Density of states at the Fermi level, states/eV per cell: 25.3
# Energy relative to the elements, meV/atom: -32.9
data_SmPaAlHg
_chemical_formula_sum 'Sm4 Pa4 Al4 Hg4'
_symmetry_space_group_name_H-M 'F -4 3 m'
_symmetry_Int_Tables_number 216
_symmetry_space_group_name_Hall 'F -4 2 3'
_cell_length_a 7.417
_cell_length_b 7.417
_cell_length_c 7.417
_cell_angle_alpha 90.00
_cell_angle_beta 90.00
_cell_angle_gamma 90.00
loop_
_atom_site_label
_atom_site_fract_x
_atom_site_fract_y
_atom_site_fract_z
_atom_site_occupancy
Sm1 0.000 0.000 0.000 1
Pa1 0.000 0.000 0.500 1
Al1 0.250 0.250 0.250 1
Hg1 0.250 0.250 0.750 1